## TcNiW (PBE)

Data for a geometry-optimized TcNiW structure.

## Properties
* energy of formation: 0.40 eV/f.u.
* crystal system: orthorhombic
* size of the total moment: 0.0 μB/f.u.
* electronic total energy: -9.568 eV/atom
* ΔE to the lowest computed polymorph: 0.060 eV per atom

```
TcNiW
1.0
3.4276 0.0000 0.0000
0.0000 4.0785 0.0000
0.0000 0.0000 11.9934
Tc Ni W
4 4 4
Direct
0.0000 0.0000 0.0000
0.0000 0.5000 0.5000
0.5000 0.0000 0.5000
0.5000 0.5000 0.0000
0.0000 0.0000 0.6583
0.0000 0.5000 0.1583
0.5000 0.0000 0.1583
0.5000 0.5000 0.6583
0.0000 0.0000 0.3181
0.0000 0.5000 0.8181
0.5000 0.0000 0.8181
0.5000 0.5000 0.3181
```